Density functional theory data (PBE) for TaRuW2 after structural relaxation.

**Polymorph energy (0 for the lowest one)**: 0.0867 eV per atom
**DFT formation energy**: 0.01 eV per atom
**Calculated density**: 16.75 g cm⁻³
**Final energy**: -11.748 eV per atom
**Magnetic moment**: 0.559 μB per formula unit

Cell: 2.774 2.774 8.877 Å, 90.00 90.00 109.44°
Site moments in Bohr magnetons follow the coordinates.
Sites, in units of the cell vectors:
Ru  0.000  0.000  0.497  0.50
W  0.500  0.500  0.255  0.01
W  0.000  0.000  0.005  0.01
Ta  0.500  0.500  0.744  0.01


Density functional theory data (PBE) for Zn12Ag5Au2 after structural relaxation.

**DFT formation energy**: -0.05 eV per atom
**Calculated density**: 9.33 g cm⁻³
**Final energy**: -1.954 eV per atom
**Magnetic moment**: 0.000 μB per formula unit

Cell: 4.953 8.306 8.306 Å, 67.20 78.41 78.41°
Sites, in units of the cell vectors:
Zn  0.701  0.555  0.555
Zn  0.797  0.953  0.450
Zn  0.602  0.147  0.648
Zn  0.001  0.119  0.119
Zn  0.797  0.450  0.953
Zn  0.299  0.445  0.445
Zn  0.203  0.047  0.550
Zn  0.398  0.853  0.352
Zn  0.203  0.550  0.047
Zn  0.398  0.352  0.853
Zn  0.602  0.648  0.147
Zn  0.999  0.881  0.881
Ag  0.500  0.000  0.000
Ag  0.540  0.779  0.779
Ag  0.119  0.663  0.663
Ag  0.460  0.221  0.221
Ag  0.881  0.337  0.337
Au  0.000  0.755  0.245
Au  0.000  0.245  0.755


Density functional theory data (PBE) for VMoHRu2 after structural relaxation.

**Polymorph energy (0 for the lowest one)**: 1.9637 eV per atom
**Calculated density**: 6.48 g cm⁻³
**Final energy**: -6.449 eV per atom
**Magnetic moment**: 0.639 μB per formula unit

Cell: 4.423 4.582 4.423 Å, 90.00 90.00 90.00°
Site moments in Bohr magnetons follow the coordinates.
Sites, in units of the cell vectors:
Mo  0.000  0.500  0.000  -0.70
Ru  0.500  0.000  0.000  0.53
Ru  0.000  0.000  0.500  0.61
H  0.500  0.500  0.500  0.10
V  0.000  0.000  0.000  0.04


Density functional theory data (PBE) for Sm6Pt2S after structural relaxation.

**Calculated density**: 8.70 g cm⁻³
**Final energy**: -5.926 eV per atom
**Magnetic moment**: 0.000 μB per formula unit
**Energy relative to the elements, uncorrected**: -850 kJ/mol of formula units

Cell: 6.671 7.359 10.313 Å, 90.00 87.28 90.00°
Sites, in units of the cell vectors:
S  0.500  0.500  0.000
S  0.000  0.000  0.500
Pt  0.940  0.385  0.237
Pt  0.560  0.885  0.263
Pt  0.440  0.115  0.737
Pt  0.060  0.615  0.763
Sm  0.336  0.814  0.570
Sm  0.152  0.040  0.246
Sm  0.164  0.314  0.930
Sm  0.675  0.171  0.071
Sm  0.348  0.540  0.254
Sm  0.325  0.829  0.929
Sm  0.836  0.686  0.070
Sm  0.664  0.186  0.430
Sm  0.825  0.671  0.429
Sm  0.652  0.460  0.746
Sm  0.848  0.960  0.754
Sm  0.175  0.329  0.571


Density functional theory data (PBE) for TlCrIn2 after structural relaxation.

**Polymorph energy (0 for the lowest one)**: 0.0310 eV per atom
**DFT formation energy**: 0.29 eV per atom
**Calculated density**: 8.04 g cm⁻³
**Final energy**: -4.080 eV per atom
**Magnetic moment**: 3.465 μB per formula unit

Cell: 7.429 7.429 4.691 Å, 71.56 71.56 24.20°
Site moments in Bohr magnetons follow the coordinates.
Sites, in units of the cell vectors:
Cr  0.253  0.253  0.247  3.29
In  0.931  0.931  0.069  -0.01
In  0.753  0.753  0.747  -0.08
Tl  0.563  0.563  0.437  0.01


Density functional theory data (PBE) for ErHSe after structural relaxation.

**Calculated density**: 6.52 g cm⁻³
**Final energy**: -4.831 eV per atom
**Magnetic moment**: 0.000 μB per formula unit

Cell: 4.465 4.465 4.465 Å, 60.00 60.00 60.00°
Sites, in units of the cell vectors:
Se  0.000  0.000  0.000
Er  0.250  0.250  0.250
H  0.500  0.500  0.500